Record 1
VASP calculation (PBE) on a relaxed structure of AgBrO2F.

a = 4.184 Å, b = 4.184 Å, c = 4.137 Å
α = 90.00°, β = 90.00°, γ = 90.00°
Positions (direct):
Ag 0.000 0.000 0.000
Br 0.500 0.500 0.500
O 0.000 0.500 0.000
O 0.500 0.000 0.000
F 0.000 0.000 0.500

Formation energy without anion corrections, eV/atom: 0.42
DOS at the Fermi energy, states/eV per atom: 1.119

***

Record 2
VASP calculation (PBE) on a relaxed structure of AgBrOF2.

a = 4.293 Å, b = 4.293 Å, c = 4.279 Å
α = 90.00°, β = 90.00°, γ = 90.00°
Positions (direct):
Ag 0.000 0.000 0.000
Br 0.500 0.500 0.500
O 0.000 0.000 0.500
F 0.000 0.500 0.000
F 0.500 0.000 0.000

Formation energy without anion corrections, eV/atom: -0.10
DOS at the Fermi energy, states/eV per atom: 0.750
Energy relative to the lowest polymorph listed for this composition, meV/atom: 35

***

Record 3
VASP calculation (PBE) on a relaxed structure of Ag3PBr2F6.

a = 7.767 Å, b = 7.767 Å, c = 4.884 Å
α = 96.41°, β = 96.41°, γ = 52.81°
Positions (direct):
Ag 0.000 0.000 0.000
Ag 0.000 0.500 0.500
Ag 0.500 0.000 0.500
P 0.500 0.500 0.500
Br 0.187 0.187 0.127
Br 0.813 0.813 0.873
F 0.273 0.611 0.308
F 0.389 0.727 0.692
F 0.414 0.414 0.700
F 0.586 0.586 0.300
F 0.611 0.273 0.308
F 0.727 0.389 0.692

Formation energy without anion corrections, eV/atom: -1.61
DOS at the Fermi energy, states/eV per atom: 0.000